The following is a PBE calculation of crystalline Cd2SnB at its relaxed geometry, from Alexandria.

Results
- space group = I-42d (122)
- offset from the most stable computed form (meV/atom) = 0
- energy (eV/cell) = -18.8
- formation energy (eV per atom) = 0.78
- spin magnetization (μB/f.u.) = 0.0

abc: 4.9045 4.9045 8.4077
angles: 73.04 73.04 90.00
With the nearest neighbours (Å) after each atom.
Sites, in units of the cell vectors:
Sn: 0.7500 0.2500 0.5000  4 Cd 2.89
Sn: 0.0000 0.0000 0.0000  4 Cd 2.89
Cd: 0.3750 0.4882 0.7500  2 B 2.37
B: 0.2500 0.7500 0.5000  4 Cd 2.37
Cd: 0.8750 0.7618 0.7500  2 B 2.37
B: 0.5000 0.5000 0.0000  4 Cd 2.37
Cd: 0.5118 0.1250 0.2500  2 B 2.37
Cd: 0.2382 0.6250 0.2500  2 B 2.37

---

The following is a PBE calculation of crystalline PrHo4ErS8 at its relaxed geometry, from Alexandria.

Results
- space group = R3m (160)
- energy (eV/cell) = -87.6
- spin magnetization (μB/f.u.) = 0.0

abc: 8.0719 8.0719 8.0642
angles: 59.97 59.97 60.00
With the nearest neighbours (Å) after each atom.
Sites, in units of the cell vectors:
S: 0.7579 0.7579 0.2557  3 Ho 2.61-2.77, 1 Er 2.76
Ho: 0.5025 0.9991 0.4993  6 S 2.73-2.77
Pr: 0.3752 0.3752 0.8744  4 S 2.71
Ho: 0.9991 0.9991 0.4993  6 S 2.73-2.77
S: 0.2370 0.2370 0.7390  1 Pr 2.71, 1 Er 2.72, 2 Ho 2.73
Er: 0.9992 0.9992 0.0023  6 S 2.72-2.76
S: 0.7567 0.7567 0.7298  4 Ho 2.61-2.77
S: 0.2286 0.7579 0.2557  3 Ho 2.61-2.77, 1 Er 2.76
Ho: 0.6248 0.6248 0.1257  4 S 2.61
S: 0.7870 0.2370 0.7390  1 Pr 2.71, 1 Er 2.72, 2 Ho 2.73
S: 0.2370 0.7870 0.7390  1 Pr 2.71, 1 Er 2.72, 2 Ho 2.73
Ho: 0.9991 0.5025 0.4993  6 S 2.73-2.77
S: 0.7579 0.2286 0.2557  3 Ho 2.61-2.77, 1 Er 2.76
S: 0.2380 0.2380 0.2861  1 Pr 2.71, 3 Ho 2.73

---

The following is a PBE calculation of crystalline Tl2Ni at its relaxed geometry, from Alexandria.

Results
- space group = P6_3/mmc (194)
- energy (eV/cell) = -32.7
- formation energy (eV per atom) = 0.78
- spin magnetization (μB/f.u.) = 0.0

abc: 6.4039 6.4039 10.6028
angles: 90.00 90.00 120.00
With the nearest neighbours (Å) after each atom.
Sites, in units of the cell vectors:
Tl: 0.3376 0.1688 0.2500  2 Ni 2.65
Tl: 0.8312 0.1688 0.2500  2 Ni 2.65
Ni: 0.6667 0.3333 0.0686  3 Tl 2.65
Tl: 0.6624 0.8312 0.7500  2 Ni 2.65
Tl: 0.1688 0.3376 0.7500  2 Ni 2.65
Tl: 0.1688 0.8312 0.7500  2 Ni 2.65
Tl: 0.0000 0.0000 0.0000  6 Tl 3.25
Ni: 0.3333 0.6667 0.5686  3 Tl 2.65
Tl: 0.0000 0.0000 0.5000  6 Tl 3.25
Ni: 0.6667 0.3333 0.4314  3 Tl 2.65
Ni: 0.3333 0.6667 0.9314  3 Tl 2.65
Tl: 0.8312 0.6624 0.2500  2 Ni 2.65

---

The following is a PBE calculation of crystalline KNb4AsO13 at its relaxed geometry, from Alexandria.

Results
- space group = Cmc2_1 (36)
- energy (eV/cell) = -308.8
- spin magnetization (μB/f.u.) = 0.0

abc: 7.4999 7.4999 10.2128
angles: 90.00 90.00 90.67
With the nearest neighbours (Å) after each atom.
Sites, in units of the cell vectors:
O: 0.6916 0.9922 0.1100  2 Nb 1.90-1.99
Nb: 0.5568 0.8988 0.2526  3 O 1.86-1.95
O: 0.3381 0.3381 0.7506  2 Nb 1.95
Nb: 0.1012 0.4432 0.7526  3 O 1.86-1.95
O: 0.9312 0.9312 0.6089  1 As 1.74
Nb: 0.8988 0.5568 0.2526  3 O 1.86-1.95
Nb: 0.1776 0.8284 0.5017  4 O 1.84-2.05
K: 0.5596 0.5596 0.9366  7 O 2.78-3.01
O: 0.0688 0.0688 0.1089  1 As 1.74
O: 0.6363 0.2001 0.6120  1 Nb 1.84
O: 0.3084 0.0078 0.6100  2 Nb 1.90-1.99
Nb: 0.1716 0.8224 0.0017  4 O 1.84-2.05
O: 0.7957 0.3632 0.3847  1 Nb 1.85
As: 0.8378 0.8378 0.7493  4 O 1.71-1.75
O: 0.3052 0.0039 0.8870  2 Nb 1.86-2.05
O: 0.1302 0.3869 0.2549  1 As 1.71
O: 0.9922 0.6916 0.1100  2 Nb 1.90-1.99
O: 0.9961 0.6948 0.3870  2 Nb 1.86-2.05
As: 0.1622 0.1622 0.2493  4 O 1.71-1.75
O: 0.3632 0.7957 0.3847  1 Nb 1.85
O: 0.8698 0.6131 0.7549  1 As 1.71
Nb: 0.4432 0.1012 0.7526  3 O 1.86-1.95
O: 0.2043 0.6368 0.8847  1 Nb 1.85
O: 0.6368 0.2043 0.8847  1 Nb 1.85
O: 0.9327 0.9327 0.8894  1 As 1.75
O: 0.6131 0.8698 0.7549  1 As 1.71
Nb: 0.8224 0.1716 0.0017  4 O 1.84-2.05
O: 0.0673 0.0673 0.3894  1 As 1.75
O: 0.3869 0.1302 0.2549  1 As 1.71
O: 0.0078 0.3084 0.6100  2 Nb 1.90-1.99
K: 0.4404 0.4404 0.4366  7 O 2.78-3.01
O: 0.6619 0.6619 0.2506  2 Nb 1.95
O: 0.3637 0.7999 0.1120  1 Nb 1.84
Nb: 0.8284 0.1776 0.5017  4 O 1.84-2.05
O: 0.7999 0.3637 0.1120  1 Nb 1.84
O: 0.6948 0.9961 0.3870  2 Nb 1.86-2.05
O: 0.0039 0.3052 0.8870  2 Nb 1.86-2.05
O: 0.2001 0.6363 0.6120  1 Nb 1.84

---

The following is a PBE calculation of crystalline TbNpRuPt at its relaxed geometry, from Alexandria.

Results
- space group = F-43m (216)
- energy (eV/cell) = -34.6
- formation energy (eV per atom) = -0.43
- spin magnetization (μB/f.u.) = 3.4

abc: 4.8672 4.8672 4.8672
angles: 60.00 60.00 60.00
With the nearest neighbours (Å) after each atom.
Sites, in units of the cell vectors:
Tb: 0.5000 0.5000 0.5000  4 Ru 2.98, 4 Pt 2.98
Pt: 0.2500 0.2500 0.2500  4 Tb 2.98, 4 Np 2.98
Ru: 0.7500 0.7500 0.7500  4 Np 2.98, 4 Tb 2.98
Np: 0.0000 0.0000 0.0000  4 Pt 2.98, 4 Ru 2.98

---

The following is a PBE calculation of crystalline CrInRe2 at its relaxed geometry, from Alexandria.

Results
- space group = Pmmm (47)
- energy (eV/cell) = -35.5
- formation energy (eV per atom) = 0.43
- spin magnetization (μB/f.u.) = 0.0

abc: 2.8153 3.8215 5.9519
angles: 90.00 90.00 90.00
With the nearest neighbours (Å) after each atom.
Sites, in units of the cell vectors:
Re: 0.0000 0.0000 0.0480  1 Re 2.40, 4 Cr 2.66
In: 0.5000 0.5000 0.7500  2 In 2.82, 8 Re 2.96, 2 Cr 2.98
Re: 0.0000 0.0000 0.4520  1 Re 2.40, 4 Cr 2.66
Cr: 0.5000 0.5000 0.2500  8 Re 2.66, 2 Cr 2.82, 2 In 2.98

---

The following is a PBE calculation of crystalline CdBPt3 at its relaxed geometry, from Alexandria.

Results
- space group = P2_1/c (14)
- offset from the most stable computed form (meV/atom) = 110
- energy (eV/cell) = -107.7
- formation energy (eV per atom) = -0.24
- spin magnetization (μB/f.u.) = 0.0

abc: 22.6372 5.2862 7.7056
angles: 90.00 160.72 90.00
With the nearest neighbours (Å) after each atom.
Sites, in units of the cell vectors:
B: 0.9378 0.2447 0.7372  6 Pt 2.11-2.22
B: 0.5622 0.7447 0.7628  6 Pt 2.11-2.22
Pt: 0.1852 0.4294 0.4853  3 B 2.14-2.16
Pt: 0.4408 0.4079 0.5141  2 B 2.11-2.22
Cd: 0.3122 0.5911 0.5008  9 Pt 2.89-3.04, 3 Cd 2.99-3.05
Cd: 0.8122 0.9089 0.0008  9 Pt 2.89-3.04, 3 Cd 2.99-3.05
Pt: 0.9408 0.0921 0.0141  2 B 2.11-2.22
Pt: 0.4275 0.0788 0.9610  1 B 2.13
Cd: 0.6878 0.4089 0.4992  9 Pt 2.89-3.04, 3 Cd 2.99-3.05
Pt: 0.9275 0.4212 0.4610  1 B 2.13
Pt: 0.6852 0.0706 0.9853  3 B 2.14-2.16
B: 0.0622 0.7553 0.2628  6 Pt 2.11-2.22
Pt: 0.3148 0.9294 0.0147  3 B 2.14-2.16
Pt: 0.5725 0.9212 0.0390  1 B 2.13
Pt: 0.0592 0.9079 0.9859  2 B 2.11-2.22
Pt: 0.0725 0.5788 0.5390  1 B 2.13
B: 0.4378 0.2553 0.2372  6 Pt 2.11-2.22
Pt: 0.8148 0.5706 0.5147  3 B 2.14-2.16
Cd: 0.1878 0.0911 0.9992  9 Pt 2.89-3.04, 3 Cd 2.99-3.05
Pt: 0.5592 0.5921 0.4859  2 B 2.11-2.22

---

The following is a PBE calculation of crystalline U3P at its relaxed geometry, from Alexandria.

Results
- space group = Pm-3m (221)
- offset from the most stable computed form (meV/atom) = 0
- energy (eV/cell) = -41.0
- formation energy (eV per atom) = -0.44
- spin magnetization (μB/f.u.) = 1.0

abc: 4.2096 4.2096 4.2096
angles: 90.00 90.00 90.00
With the nearest neighbours (Å) after each atom.
Sites, in units of the cell vectors:
U: 0.5000 0.0000 0.5000  8 U 2.98, 4 P 2.98
U: 0.5000 0.5000 0.0000  8 U 2.98, 4 P 2.98
P: 0.0000 0.0000 0.0000  12 U 2.98
U: 0.0000 0.5000 0.5000  8 U 2.98, 4 P 2.98

---

The following is a PBE calculation of crystalline KBaPd3 at its relaxed geometry, from Alexandria.

Results
- space group = Pm-3m (221)
- offset from the most stable computed form (meV/atom) = 0
- energy (eV/cell) = -15.8
- formation energy (eV per atom) = 0.55
- spin magnetization (μB/f.u.) = 0.0

abc: 5.2638 5.2638 5.2638
angles: 90.00 90.00 90.00
With the nearest neighbours (Å) after each atom.
Sites, in units of the cell vectors:
K: 0.0000 0.0000 0.0000  6 Pd 2.63
Pd: 0.5000 0.0000 0.0000  2 K 2.63
Ba: 0.5000 0.5000 0.5000  12 Pd 3.72
Pd: 0.0000 0.5000 0.0000  2 K 2.63
Pd: 0.0000 0.0000 0.5000  2 K 2.63

---

The following is a PBE calculation of crystalline RbLiMg2Al at its relaxed geometry, from Alexandria.

Results
- space group = P4/mmm (123)
- energy (eV/cell) = -4.0
- formation energy (eV per atom) = 1.16
- spin magnetization (μB/f.u.) = 0.0

abc: 6.3894 6.2419 6.3894
angles: 90.00 90.00 90.00
With the nearest neighbours (Å) after each atom.
Sites, in units of the cell vectors:
Li: 0.5000 0.5000 0.5000  8 Mg 4.47, 4 Al 4.52
Al: 0.0000 0.5000 0.0000  2 Rb 3.12
Mg: 0.5000 0.0000 0.0000  2 Rb 3.19
Rb: 0.0000 0.0000 0.0000  2 Al 3.12, 4 Mg 3.19
Mg: 0.0000 0.0000 0.5000  2 Rb 3.19

---

The following is a PBE calculation of crystalline K6TlPd at its relaxed geometry, from Alexandria.

Results
- space group = Amm2 (38)
- energy (eV/cell) = -14.5
- formation energy (eV per atom) = -0.04
- spin magnetization (μB/f.u.) = 0.0

abc: 4.5485 9.8204 9.8203
angles: 94.86 90.00 90.00
With the nearest neighbours (Å) after each atom.
Sites, in units of the cell vectors:
K: 0.5000 0.9332 0.0668  2 Tl 3.81, 2 K 4.06
Pd: 0.5000 0.2515 0.7485  2 Tl 2.75
K: 0.5000 0.9159 0.6523  1 Pd 3.35, 2 Tl 3.67
K: 0.0000 0.5222 0.7773  2 Pd 3.49, 1 Tl 3.85
K: 0.0000 0.6623 0.3377  10 K 4.43-4.64
K: 0.5000 0.3477 0.0841  1 Pd 3.35, 2 Tl 3.67
K: 0.0000 0.2227 0.4778  2 Pd 3.49, 1 Tl 3.85
Tl: 0.0000 0.1444 0.8556  2 Pd 2.75

---

The following is a PBE calculation of crystalline SmSbIr at its relaxed geometry, from Alexandria.

Results
- space group = I4mm (107)
- energy (eV/cell) = -18.6
- spin magnetization (μB/f.u.) = 0.0

abc: 3.9576 3.9576 5.4079
angles: 111.46 111.46 90.00
With the nearest neighbours (Å) after each atom.
Sites, in units of the cell vectors:
Sb: 0.6051 0.6051 0.2101  1 Ir 2.68
Sm: 0.9295 0.9295 0.8590  4 Ir 2.99, 5 Sb 3.00-3.24
Ir: 0.3154 0.3154 0.6308  1 Sb 2.68, 4 Sm 2.99